Record 1
Na2ZrPaAs4 | PBE-GGA | optimized geometry

```
data_Na2ZrPaAs4
_chemical_formula_sum 'Na2 Zr1 Pa1 As4'
_cell_length_a 7.094
_cell_length_b 4.118
_cell_length_c 7.300
_cell_angle_alpha 90.00
_cell_angle_beta 109.26
_cell_angle_gamma 90.00
_symmetry_space_group_name_H-M 'P 1 2/m 1'
_symmetry_Int_Tables_number 10
_symmetry_space_group_name_Hall '-P 2y'
loop_
_atom_site_label
_atom_site_fract_x
_atom_site_fract_y
_atom_site_fract_z
Na1 0.000 0.000 0.000
Na2 0.500 0.500 0.000
Zr1 0.000 0.500 0.500
Pa1 0.500 0.000 0.500
As1 0.230 0.000 0.713
As2 0.252 0.500 0.282
```

Computed properties:
DOS at the Fermi energy: 6.1 states/eV per cell
Calculated total energy: -44.87 eV/cell

Record 2
CaLaSb2 | PBE-GGA | optimized geometry

```
data_CaLaSb2
_chemical_formula_sum 'Ca2 La2 Sb4'
_cell_length_a 12.063
_cell_length_b 4.409
_cell_length_c 4.816
_cell_angle_alpha 90.00
_cell_angle_beta 97.14
_cell_angle_gamma 90.00
_symmetry_space_group_name_H-M 'C 1 m 1'
_symmetry_Int_Tables_number 8
_symmetry_space_group_name_Hall 'C -2y'
loop_
_atom_site_label
_atom_site_fract_x
_atom_site_fract_y
_atom_site_fract_z
Ca1 0.000 0.000 0.000
La1 0.251 0.000 0.509
Sb1 0.023 0.500 0.513
Sb2 0.237 0.500 0.998
```

Computed properties:
DOS at the Fermi energy: 4.2 states/eV per cell
Excess energy over the best structure of this formula in the dataset: 5.7 meV/atom

Record 3
Er4In5Ga2 | PBE-GGA | optimized geometry

```
data_Er4In5Ga2
_chemical_formula_sum 'Er4 In5 Ga2'
_cell_length_a 7.806
_cell_length_b 3.511
_cell_length_c 9.774
_cell_angle_alpha 90.00
_cell_angle_beta 94.96
_cell_angle_gamma 90.00
_symmetry_space_group_name_H-M 'P 1 2/m 1'
_symmetry_Int_Tables_number 10
_symmetry_space_group_name_Hall '-P 2y'
loop_
_atom_site_label
_atom_site_fract_x
_atom_site_fract_y
_atom_site_fract_z
Er1 0.179 0.000 0.369
Er2 0.253 0.000 0.937
In1 0.175 0.500 0.655
In2 0.448 0.500 0.187
In3 0.500 0.500 0.500
Ga1 0.067 0.500 0.129
```

Computed properties:
DOS at the Fermi energy: 7.0 states/eV per cell
Calculated total energy: -42.96 eV/cell

- Among the records above, which one has the highest DOS at the Fermi energy?
  Er4In5Ga2